1.
# BaFe2Si PBE-GGA optimized geometry
# Space-group type ... No. 10
# Total magnetic moment ... 4.72 μB per cell
# Uncorrected formation energy ... 333 meV/atom
data_BaFe2Si
_chemical_formula_sum 'Ba1 Fe2 Si1'
_symmetry_space_group_name_H-M 'P 1'
_symmetry_Int_Tables_number 1
_cell_length_a 3.336
_cell_length_b 4.090
_cell_length_c 6.399
_cell_angle_alpha 90.00
_cell_angle_beta 98.69
_cell_angle_gamma 90.00
loop_
_symmetry_equiv_pos_as_xyz
'x,y,z'
loop_
_atom_site_label
_atom_site_type_symbol
_atom_site_fract_x
_atom_site_fract_y
_atom_site_fract_z
Ba1 Ba 0.000 0.000 0.000
Fe1 Fe 0.287 0.500 0.627
Fe2 Fe 0.713 0.500 0.373
Si1 Si 0.500 0.000 0.500

2.
# Na2Sr3IrO6 PBE-GGA optimized geometry
# Space-group type ... No. 12
# Total magnetic moment ... 1.06 μB per cell
# Uncorrected formation energy ... -1849 meV/atom
data_Na2Sr3IrO6
_chemical_formula_sum 'Na2 Sr3 Ir1 O6'
_symmetry_space_group_name_H-M 'P 1'
_symmetry_Int_Tables_number 1
_cell_length_a 6.119
_cell_length_b 6.119
_cell_length_c 5.696
_cell_angle_alpha 100.62
_cell_angle_beta 100.62
_cell_angle_gamma 119.60
loop_
_symmetry_equiv_pos_as_xyz
'x,y,z'
loop_
_atom_site_label
_atom_site_type_symbol
_atom_site_fract_x
_atom_site_fract_y
_atom_site_fract_z
Na1 Na 0.166 0.834 0.000
Na2 Na 0.834 0.166 0.000
Sr1 Sr 0.000 0.000 0.500
Sr2 Sr 0.329 0.671 0.500
Sr3 Sr 0.671 0.329 0.500
Ir1 Ir 0.500 0.500 0.000
O1 O 0.135 0.428 0.779
O2 O 0.286 0.286 0.220
O3 O 0.428 0.135 0.779
O4 O 0.572 0.865 0.221
O5 O 0.714 0.714 0.780
O6 O 0.865 0.572 0.221

3.
# SiAg2Sb PBE-GGA optimized geometry
# Space-group type ... No. 12
# Total magnetic moment ... 0.00 μB per cell
# Uncorrected formation energy ... 347 meV/atom
# E above lowest polymorph ... 103 meV/atom
data_SiAg2Sb
_chemical_formula_sum 'Si1 Ag2 Sb1'
_symmetry_space_group_name_H-M 'P 1'
_symmetry_Int_Tables_number 1
_cell_length_a 5.818
_cell_length_b 5.818
_cell_length_c 3.174
_cell_angle_alpha 104.33
_cell_angle_beta 104.33
_cell_angle_gamma 119.25
loop_
_symmetry_equiv_pos_as_xyz
'x,y,z'
loop_
_atom_site_label
_atom_site_type_symbol
_atom_site_fract_x
_atom_site_fract_y
_atom_site_fract_z
Si1 Si 0.000 0.000 0.000
Ag1 Ag 0.000 0.500 0.000
Ag2 Ag 0.500 0.000 0.000
Sb1 Sb 0.500 0.500 0.000

4.
# TbPrEr2In4 PBE-GGA optimized geometry
# Space-group type ... No. 166
# E_form ... -0.458 eV/atom
# Total magnetic moment ... 0.00 μB per cell
data_TbPrEr2In4
_chemical_formula_sum 'Tb1 Pr1 Er2 In4'
_symmetry_space_group_name_H-M 'P 1'
_symmetry_Int_Tables_number 1
_cell_length_a 9.293
_cell_length_b 9.293
_cell_length_c 9.293
_cell_angle_alpha 33.47
_cell_angle_beta 33.47
_cell_angle_gamma 33.47
loop_
_symmetry_equiv_pos_as_xyz
'x,y,z'
loop_
_atom_site_label
_atom_site_type_symbol
_atom_site_fract_x
_atom_site_fract_y
_atom_site_fract_z
Tb1 Tb 0.000 0.000 0.000
Pr1 Pr 0.500 0.500 0.500
Er1 Er 0.250 0.250 0.250
Er2 Er 0.750 0.750 0.750
In1 In 0.123 0.123 0.123
In2 In 0.374 0.374 0.374
In3 In 0.626 0.626 0.626
In4 In 0.877 0.877 0.877

5.
# UVTc2 PBE-GGA optimized geometry
# Space-group type ... No. 166
# E_form ... 0.139 eV/atom
# Total magnetic moment ... 0.00 μB per cell
# E above lowest polymorph ... 241 meV/atom
data_UVTc2
_chemical_formula_sum 'U1 V1 Tc2'
_symmetry_space_group_name_H-M 'P 1'
_symmetry_Int_Tables_number 1
_cell_length_a 9.078
_cell_length_b 9.078
_cell_length_c 9.078
_cell_angle_alpha 18.27
_cell_angle_beta 18.27
_cell_angle_gamma 18.27
loop_
_symmetry_equiv_pos_as_xyz
'x,y,z'
loop_
_atom_site_label
_atom_site_type_symbol
_atom_site_fract_x
_atom_site_fract_y
_atom_site_fract_z
U1 U 0.000 0.000 0.000
V1 V 0.500 0.500 0.500
Tc1 Tc 0.239 0.239 0.239
Tc2 Tc 0.761 0.761 0.761

6.
# Dy2Y4Ho5 PBE-GGA optimized geometry
# Space-group type ... No. 12
# E_form ... 0.127 eV/atom
# Total magnetic moment ... 0.00 μB per cell
# E above lowest polymorph ... 51 meV/atom
data_Dy2Y4Ho5
_chemical_formula_sum 'Dy2 Y4 Ho5'
_symmetry_space_group_name_H-M 'P 1'
_symmetry_Int_Tables_number 1
_cell_length_a 6.611
_cell_length_b 6.611
_cell_length_c 9.233
_cell_angle_alpha 104.49
_cell_angle_beta 104.49
_cell_angle_gamma 66.92
loop_
_symmetry_equiv_pos_as_xyz
'x,y,z'
loop_
_atom_site_label
_atom_site_type_symbol
_atom_site_fract_x
_atom_site_fract_y
_atom_site_fract_z
Dy1 Dy 0.146 0.146 0.121
Dy2 Dy 0.854 0.854 0.879
Y1 Y 0.321 0.321 0.499
Y2 Y 0.328 0.328 0.876
Y3 Y 0.672 0.672 0.124
Y4 Y 0.679 0.679 0.501
Ho1 Ho 0.000 0.000 0.500
Ho2 Ho 0.211 0.654 0.219
Ho3 Ho 0.346 0.789 0.781
Ho4 Ho 0.654 0.211 0.219
Ho5 Ho 0.789 0.346 0.781

> Which of these has the highest total magnetic moment?

BaFe2Si

> The highest total magnetic moment belongs to which entry?

BaFe2Si